No. 1
Density functional theory data (PBE-GGA) for an optimized crystal structure of Ba2Ca2Au3. Values from VASP.

Cell and atoms, written as Quantum ESPRESSO input:
```
&SYSTEM
  ibrav = 0, nat = 14, ntyp = 3
/
ATOMIC_SPECIES
Ba 137.33 Ba.upf
Ca 40.08 Ca.upf
Au 196.97 Au.upf
ATOMIC_POSITIONS crystal
Ba 0.2722 0.1300 0.3255
Ba 0.7278 0.8700 0.6745
Ba 0.3877 0.2572 0.9675
Ba 0.6123 0.7428 0.0325
Ca 0.0560 0.2132 0.6749
Ca 0.9440 0.7868 0.3251
Ca 0.4126 0.5181 0.6566
Ca 0.5874 0.4819 0.3434
Au 0.0698 0.9845 0.8760
Au 0.9302 0.0155 0.1240
Au 0.1526 0.5093 0.1855
Au 0.8474 0.4907 0.8145
Au 0.3723 0.7769 0.4784
Au 0.6277 0.2231 0.5216
CELL_PARAMETERS angstrom
-3.2899 -2.6868 -2.1557
0.8092 -8.3225 3.8752
-9.1714 1.2219 7.2112
```

Values from the calculation:
V, Å³ per cell: 486.61
Density, Mg/m³: 6.45
DOS at the Fermi energy, states/eV/cell: 8.5
Symmetry: C2/m
Formation enthalpy at 0 K, eV/atom: -0.634
Total magnetic moment, Bohr magnetons per cell: 0.00

---

No. 2
Density functional theory data (PBE-GGA) for an optimized crystal structure of Ba3CaAu4. Values from VASP.

Cell and atoms, written as Quantum ESPRESSO input:
```
&SYSTEM
  ibrav = 0, nat = 8, ntyp = 3
/
ATOMIC_SPECIES
Ca 40.08 Ca.upf
Au 196.97 Au.upf
Ba 137.33 Ba.upf
ATOMIC_POSITIONS crystal
Ca 0.5000 0.5000 0.0000
Au 0.0000 0.0000 0.9023
Au 0.0000 0.0000 0.0977
Au 0.0000 0.0000 0.3693
Au 0.0000 0.0000 0.6307
Ba 0.5000 0.5000 0.2382
Ba 0.5000 0.5000 0.5000
Ba 0.5000 0.5000 0.7618
CELL_PARAMETERS angstrom
3.9435 0.0000 0.0000
0.0000 3.9435 0.0000
0.0000 0.0000 15.7153
```

Values from the calculation:
V, Å³ per cell: 244.39
Density, Mg/m³: 8.42
DOS at the Fermi energy, states/eV/cell: 4.9
Symmetry: P4/mmm
Formation enthalpy at 0 K, eV/atom: -0.703
Total magnetic moment, Bohr magnetons per cell: 0.00

---

No. 3
Density functional theory data (PBE-GGA) for an optimized crystal structure of BaCa5Au6. Values from VASP.

Cell and atoms, written as Quantum ESPRESSO input:
```
&SYSTEM
  ibrav = 0, nat = 12, ntyp = 3
/
ATOMIC_SPECIES
Ca 40.08 Ca.upf
Au 196.97 Au.upf
Ba 137.33 Ba.upf
ATOMIC_POSITIONS crystal
Ca 0.6678 0.5000 0.3330
Ca 0.3293 0.0000 0.6602
Ca 0.0000 0.5000 0.0000
Ca 0.6707 0.0000 0.3398
Ca 0.3322 0.5000 0.6670
Au 0.8231 0.7390 0.6515
Au 0.8231 0.2610 0.6515
Au 0.5000 0.2751 0.0000
Au 0.5000 0.7249 0.0000
Au 0.1769 0.7390 0.3485
Au 0.1769 0.2610 0.3485
Ba 0.0000 0.0000 0.0000
CELL_PARAMETERS angstrom
-5.0812 1.1618 -0.5927
-1.7304 -4.8245 5.3778
3.3054 5.1298 5.6656
```

Values from the calculation:
V, Å³ per cell: 306.91
Density, Mg/m³: 8.22
DOS at the Fermi energy, states/eV/cell: 7.7
Symmetry: P2/m
Formation enthalpy at 0 K, eV/atom: -0.745
Total magnetic moment, Bohr magnetons per cell: 0.00

---

No. 4
Density functional theory data (PBE-GGA) for an optimized crystal structure of BaCaAu2. Values from VASP.

Cell and atoms, written as Quantum ESPRESSO input:
```
&SYSTEM
  ibrav = 0, nat = 4, ntyp = 3
/
ATOMIC_SPECIES
Ca 40.08 Ca.upf
Au 196.97 Au.upf
Ba 137.33 Ba.upf
ATOMIC_POSITIONS crystal
Ca 0.7500 0.7500 0.7500
Au 0.0000 0.0000 0.0000
Au 0.2500 0.2500 0.2500
Ba 0.5000 0.5000 0.5000
CELL_PARAMETERS angstrom
5.2734 0.0000 0.0000
2.6367 4.5669 0.0000
2.6367 1.5223 4.3057
```

Values from the calculation:
V, Å³ per cell: 103.69
Density, Mg/m³: 9.15
DOS at the Fermi energy, states/eV/cell: 5.1
Symmetry: F-43m
Formation enthalpy at 0 K, eV/atom: -0.356
Total magnetic moment, Bohr magnetons per cell: 0.00

---

Please write out number 1 again, unchanged.
Density functional theory data (PBE-GGA) for an optimized crystal structure of Ba2Ca2Au3. Values from VASP.

Cell and atoms, written as Quantum ESPRESSO input:
```
&SYSTEM
  ibrav = 0, nat = 14, ntyp = 3
/
ATOMIC_SPECIES
Ba 137.33 Ba.upf
Ca 40.08 Ca.upf
Au 196.97 Au.upf
ATOMIC_POSITIONS crystal
Ba 0.2722 0.1300 0.3255
Ba 0.7278 0.8700 0.6745
Ba 0.3877 0.2572 0.9675
Ba 0.6123 0.7428 0.0325
Ca 0.0560 0.2132 0.6749
Ca 0.9440 0.7868 0.3251
Ca 0.4126 0.5181 0.6566
Ca 0.5874 0.4819 0.3434
Au 0.0698 0.9845 0.8760
Au 0.9302 0.0155 0.1240
Au 0.1526 0.5093 0.1855
Au 0.8474 0.4907 0.8145
Au 0.3723 0.7769 0.4784
Au 0.6277 0.2231 0.5216
CELL_PARAMETERS angstrom
-3.2899 -2.6868 -2.1557
0.8092 -8.3225 3.8752
-9.1714 1.2219 7.2112
```

Values from the calculation:
V, Å³ per cell: 486.61
Density, Mg/m³: 6.45
DOS at the Fermi energy, states/eV/cell: 8.5
Symmetry: C2/m
Formation enthalpy at 0 K, eV/atom: -0.634
Total magnetic moment, Bohr magnetons per cell: 0.00